Density functional theory data (PBEsol) for a relaxed structure of CoOsBr2.

The structure in CIF format:
```
data_CoOsBr2
_chemical_formula_sum 'Co1 Os1 Br2'
_space_group_name_H-M_alt 'P 1'
_space_group_IT_number 1
_space_group_name_Hall 'P 1'
_cell_length_a 2.909
_cell_length_b 4.170
_cell_length_c 5.582
_cell_angle_alpha 90.00
_cell_angle_beta 90.00
_cell_angle_gamma 90.00
loop_
_atom_site_label
_atom_site_type_symbol
_atom_site_fract_x
_atom_site_fract_y
_atom_site_fract_z
Co1 Co 0.000 0.000 0.000
Os1 Os 0.500 0.000 0.500
Br1 Br 0.000 0.500 0.500
Br2 Br 0.500 0.500 0.000
```

Properties
- Energy relative to the lowest polymorph listed for this composition: 0.000 kcal/mol of atoms
- Raw total energy: -4.68 eV/atom
- E_form (uncorrected): 480 kJ/mol of formula units
- SG: Pmmm



Density functional theory data (PBEsol) for a relaxed structure of Co2OsBr.

The structure in CIF format:
```
data_Co2OsBr
_chemical_formula_sum 'Co2 Os1 Br1'
_space_group_name_H-M_alt 'P 1'
_space_group_IT_number 1
_space_group_name_Hall 'P 1'
_cell_length_a 3.358
_cell_length_b 3.358
_cell_length_c 7.717
_cell_angle_alpha 108.35
_cell_angle_beta 108.35
_cell_angle_gamma 47.41
loop_
_atom_site_label
_atom_site_type_symbol
_atom_site_fract_x
_atom_site_fract_y
_atom_site_fract_z
Co1 Co 0.184 0.184 0.289
Co2 Co 0.816 0.816 0.711
Os1 Os 0.000 0.000 0.500
Br1 Br 0.500 0.500 0.000
```

Properties
- Energy relative to the lowest polymorph listed for this composition: 4.524 kcal/mol of atoms
- Raw total energy: -6.67 eV/atom
- E_form (uncorrected): 278 kJ/mol of formula units
- SG: C2/m



Density functional theory data (PBEsol) for a relaxed structure of CoOsBr2.

The structure in CIF format:
```
data_CoOsBr2
_chemical_formula_sum 'Co1 Os1 Br2'
_space_group_name_H-M_alt 'P 1'
_space_group_IT_number 1
_space_group_name_Hall 'P 1'
_cell_length_a 3.119
_cell_length_b 3.119
_cell_length_c 6.309
_cell_angle_alpha 90.00
_cell_angle_beta 90.00
_cell_angle_gamma 90.00
loop_
_atom_site_label
_atom_site_type_symbol
_atom_site_fract_x
_atom_site_fract_y
_atom_site_fract_z
Co1 Co 0.000 0.000 0.000
Os1 Os 0.000 0.000 0.500
Br1 Br 0.500 0.500 0.242
Br2 Br 0.500 0.500 0.758
```

Properties
- Energy relative to the lowest polymorph listed for this composition: 1.124 kcal/mol of atoms
- Raw total energy: -4.63 eV/atom
- E_form (uncorrected): 498 kJ/mol of formula units
- SG: P4/mmm



Density functional theory data (PBEsol) for a relaxed structure of Co2OsBr2.

The structure in CIF format:
```
data_Co2OsBr2
_chemical_formula_sum 'Co2 Os1 Br2'
_space_group_name_H-M_alt 'P 1'
_space_group_IT_number 1
_space_group_name_Hall 'P 1'
_cell_length_a 6.040
_cell_length_b 6.040
_cell_length_c 6.040
_cell_angle_alpha 141.83
_cell_angle_beta 141.83
_cell_angle_gamma 55.08
loop_
_atom_site_label
_atom_site_type_symbol
_atom_site_fract_x
_atom_site_fract_y
_atom_site_fract_z
Co1 Co 0.101 0.101 0.000
Co2 Co 0.899 0.899 0.000
Os1 Os 0.500 0.500 0.000
Br1 Br 0.250 0.750 0.500
Br2 Br 0.750 0.250 0.500
```

Properties
- Raw total energy: -4.80 eV/atom
- E_form (uncorrected): 718 kJ/mol of formula units
- SG: I4/mmm



Density functional theory data (PBEsol) for a relaxed structure of CoPBr.

The structure in CIF format:
```
data_CoPBr
_chemical_formula_sum 'Co1 P1 Br1'
_space_group_name_H-M_alt 'P 1'
_space_group_IT_number 1
_space_group_name_Hall 'P 1'
_cell_length_a 6.188
_cell_length_b 5.837
_cell_length_c 3.230
_cell_angle_alpha 80.52
_cell_angle_beta 68.49
_cell_angle_gamma 30.98
loop_
_atom_site_label
_atom_site_type_symbol
_atom_site_fract_x
_atom_site_fract_y
_atom_site_fract_z
Co1 Co 0.000 0.000 0.000
P1 P 0.602 0.602 0.398
Br1 Br 0.347 0.347 0.653
```

Properties
- Energy relative to the lowest polymorph listed for this composition: 0.000 kcal/mol of atoms
- Raw total energy: -4.91 eV/atom
- E_form (uncorrected): 65 kJ/mol of formula units
- SG: Fmm2



Density functional theory data (PBEsol) for a relaxed structure of CoPBr.

The structure in CIF format:
```
data_CoPBr
_chemical_formula_sum 'Co1 P1 Br1'
_space_group_name_H-M_alt 'P 1'
_space_group_IT_number 1
_space_group_name_Hall 'P 1'
_cell_length_a 4.081
_cell_length_b 4.081
_cell_length_c 4.081
_cell_angle_alpha 60.00
_cell_angle_beta 60.00
_cell_angle_gamma 60.00
loop_
_atom_site_label
_atom_site_type_symbol
_atom_site_fract_x
_atom_site_fract_y
_atom_site_fract_z
Co1 Co 0.000 0.000 0.000
P1 P 0.250 0.250 0.250
Br1 Br 0.750 0.750 0.750
```

Properties
- Energy relative to the lowest polymorph listed for this composition: 3.023 kcal/mol of atoms
- Raw total energy: -4.78 eV/atom
- E_form (uncorrected): 103 kJ/mol of formula units
- SG: F-43m



Density functional theory data (PBEsol) for a relaxed structure of CoP2Br.

The structure in CIF format:
```
data_CoP2Br
_chemical_formula_sum 'Co1 P2 Br1'
_space_group_name_H-M_alt 'P 1'
_space_group_IT_number 1
_space_group_name_Hall 'P 1'
_cell_length_a 4.031
_cell_length_b 4.031
_cell_length_c 6.791
_cell_angle_alpha 109.36
_cell_angle_beta 109.36
_cell_angle_gamma 47.15
loop_
_atom_site_label
_atom_site_type_symbol
_atom_site_fract_x
_atom_site_fract_y
_atom_site_fract_z
Co1 Co 0.000 0.000 0.000
P1 P 0.268 0.268 0.940
P2 P 0.412 0.412 0.730
Br1 Br 0.612 0.612 0.294
```

Properties
- Energy relative to the lowest polymorph listed for this composition: 0.000 kcal/mol of atoms
- Raw total energy: -5.39 eV/atom
- E_form (uncorrected): -35 kJ/mol of formula units
- SG: Cm



Density functional theory data (PBEsol) for a relaxed structure of CoP2Br.

The structure in CIF format:
```
data_CoP2Br
_chemical_formula_sum 'Co1 P2 Br1'
_space_group_name_H-M_alt 'P 1'
_space_group_IT_number 1
_space_group_name_Hall 'P 1'
_cell_length_a 5.578
_cell_length_b 5.578
_cell_length_c 5.578
_cell_angle_alpha 150.80
_cell_angle_beta 133.51
_cell_angle_gamma 55.85
loop_
_atom_site_label
_atom_site_type_symbol
_atom_site_fract_x
_atom_site_fract_y
_atom_site_fract_z
Co1 Co 0.000 0.000 0.000
P1 P 0.189 0.689 0.500
P2 P 0.811 0.311 0.500
Br1 Br 0.500 0.500 0.000
```

Properties
- Energy relative to the lowest polymorph listed for this composition: 11.541 kcal/mol of atoms
- Raw total energy: -4.89 eV/atom
- E_form (uncorrected): 158 kJ/mol of formula units
- SG: Immm